Record 1
MgBr4, relaxed, DFT PBE-GGA; ΔE_f (raw) = -396 meV per atom; theoretical density = 3.9 Mg/m³; electronic total energy = -2.0534 eV per atom
1.0
-3.3290 3.3290 3.3290
3.3290 -3.3290 3.3290
3.3290 3.3290 -3.3290
Mg Br
1 4
direct
0.0000 0.0000 0.0000 Mg
0.5000 0.0000 0.0000 Br
0.5000 0.5000 0.5000 Br
0.0000 0.5000 0.0000 Br
0.0000 0.0000 0.5000 Br

Record 2
YBeZn2, relaxed, DFT PBE-GGA; theoretical density = 4.8 Mg/m³; electronic total energy = -3.1157 eV per atom; energy of formation from the pure elements = 0.0689 eV per atom
1.0
-3.4284 2.3019 1.7792
-2.4566 -3.7636 0.1354
-0.2063 -2.2562 8.2030
Y Be Zn
2 2 4
direct
0.0000 0.0000 0.0000 Y
0.7500 0.2500 0.5000 Y
0.5000 0.5000 0.0000 Be
0.2500 0.7500 0.5000 Be
0.3154 0.1250 0.2500 Zn
0.4346 0.6250 0.2500 Zn
0.3750 0.6846 0.7500 Zn
0.8750 0.5654 0.7500 Zn

Record 3
H2IrPd, relaxed, DFT PBE-GGA; theoretical density = 13.3 Mg/m³; electronic total energy = -5.0054 eV per atom; energy relative to the lowest polymorph listed for this composition = 0 meV/atom
1.0
4.3711 0.0000 0.0000
0.0000 4.3711 0.0000
2.1856 2.1856 3.9308
H Ir Pd
4 2 2
direct
0.6425 0.1250 0.2500 H
0.1075 0.6250 0.2500 H
0.3750 0.3575 0.7500 H
0.8750 0.8925 0.7500 H
0.0000 0.0000 0.0000 Ir
0.7500 0.2500 0.5000 Ir
0.5000 0.5000 0.0000 Pd
0.2500 0.7500 0.5000 Pd

Number 1: total moment 0.0002 μB per atom. Number 2: total moment 0.0000 μB per atom. Number 3: total moment 0.0000 μB per atom.